No. 1
A plane-wave DFT calculation with PBE was carried out for a relaxed structure of InGaHg.

Output
E   -23.656 eV per cell

Unit cell a=7.280 b=6.454 c=6.269 alpha=90.00 beta=90.00 gamma=90.00
Atoms (fractional coordinates):
In: 0.164 0.250 0.136
In: 0.336 0.750 0.636
In: 0.664 0.250 0.364
In: 0.836 0.750 0.864
Ga: 0.000 0.000 0.500
Ga: 0.000 0.500 0.500
Ga: 0.500 0.000 0.000
Ga: 0.500 0.500 0.000
Hg: 0.172 0.750 0.140
Hg: 0.328 0.250 0.640
Hg: 0.672 0.750 0.360
Hg: 0.828 0.250 0.860

No. 2
A plane-wave DFT calculation with PBE was carried out for a relaxed structure of Sc3Tl3GeTe8.

Output
Uncorrected formation energy   -0.710 eV per atom

Unit cell a=9.435 b=9.435 c=9.435 alpha=53.19 beta=53.19 gamma=53.19
Atoms (fractional coordinates):
Sc: 0.000 0.500 0.500
Sc: 0.500 0.000 0.500
Sc: 0.500 0.500 0.000
Tl: 0.000 0.000 0.500
Tl: 0.000 0.500 0.000
Tl: 0.500 0.000 0.000
Ge: 0.000 0.000 0.000
Te: 0.232 0.232 0.735
Te: 0.232 0.735 0.232
Te: 0.265 0.265 0.265
Te: 0.265 0.768 0.768
Te: 0.735 0.232 0.232
Te: 0.735 0.735 0.735
Te: 0.768 0.265 0.768
Te: 0.768 0.768 0.265

No. 3
A plane-wave DFT calculation with PBE was carried out for a relaxed structure of MgH2O2.

Output
E   -51.512 eV per cell

Unit cell a=5.418 b=5.418 c=4.285 alpha=102.92 beta=102.92 gamma=130.01
Atoms (fractional coordinates):
Mg: 0.125 0.875 0.750
Mg: 0.875 0.125 0.250
H: 0.153 0.403 0.802
H: 0.403 0.153 0.302
H: 0.597 0.847 0.698
H: 0.847 0.597 0.198
O: 0.087 0.913 0.250
O: 0.337 0.663 0.750
O: 0.663 0.337 0.250
O: 0.913 0.087 0.750

No. 4
A plane-wave DFT calculation with PBE was carried out for a relaxed structure of Er2ScNi2.

Output
ΔE to the lowest computed polymorph   184 meV/atom

Unit cell a=7.469 b=7.469 c=5.350 alpha=90.00 beta=90.00 gamma=135.26
Atoms (fractional coordinates):
Er: 0.080 0.920 0.750
Er: 0.282 0.718 0.250
Er: 0.718 0.282 0.750
Er: 0.920 0.080 0.250
Sc: 0.500 0.500 0.000
Sc: 0.500 0.500 0.500
Ni: 0.116 0.353 0.750
Ni: 0.353 0.116 0.250
Ni: 0.647 0.884 0.750
Ni: 0.884 0.647 0.250

No. 5
A plane-wave DFT calculation with PBE was carried out for a relaxed structure of CrRe4Si.

Output
Uncorrected formation energy   0.668 eV per atom

Unit cell a=5.138 b=5.138 c=5.138 alpha=60.00 beta=60.00 gamma=60.00
Atoms (fractional coordinates):
Cr: 0.000 0.000 0.000
Re: 0.125 0.625 0.625
Re: 0.625 0.125 0.625
Re: 0.625 0.625 0.125
Re: 0.625 0.625 0.625
Si: 0.250 0.250 0.250

No. 6
A plane-wave DFT calculation with PBE was carried out for a relaxed structure of POsRu2.

Output
E   -34.472 eV per cell

Unit cell a=4.627 b=4.627 c=4.627 alpha=131.76 beta=131.76 gamma=70.61
Atoms (fractional coordinates):
P: 0.000 0.000 0.000
Os: 0.500 0.500 0.000
Ru: 0.250 0.750 0.500
Ru: 0.750 0.250 0.500

No. 7
A plane-wave DFT calculation with PBE was carried out for a relaxed structure of Pm2Nd6Tm3In.

Output
E   -54.825 eV per cell

Unit cell a=6.203 b=6.203 c=11.861 alpha=95.00 beta=95.00 gamma=120.09
Atoms (fractional coordinates):
Pm: 0.166 0.834 0.000
Pm: 0.834 0.166 0.000
Nd: 0.090 0.416 0.748
Nd: 0.258 0.258 0.253
Nd: 0.416 0.090 0.748
Nd: 0.584 0.910 0.252
Nd: 0.742 0.742 0.747
Nd: 0.910 0.584 0.252
Tm: 0.000 0.000 0.500
Tm: 0.333 0.667 0.500
Tm: 0.667 0.333 0.500
In: 0.500 0.500 0.000

No. 8
A plane-wave DFT calculation with PBE was carried out for a relaxed structure of TaFeHIr2.

Output
ΔE to the lowest computed polymorph   0 meV/atom

Unit cell a=3.905 b=3.905 c=3.875 alpha=90.00 beta=90.00 gamma=90.00
Atoms (fractional coordinates):
Ta: 0.000 0.000 0.000
Fe: 0.500 0.500 0.000
H: 0.500 0.500 0.500
Ir: 0.000 0.500 0.500
Ir: 0.500 0.000 0.500

No. 9
A plane-wave DFT calculation with PBE was carried out for a relaxed structure of CuBi2Ir.

Output
E   -37.223 eV per cell

Unit cell a=7.333 b=7.333 c=7.333 alpha=129.42 beta=129.42 gamma=74.33
Atoms (fractional coordinates):
Cu: 0.000 0.000 0.000
Cu: 0.750 0.250 0.500
Bi: 0.127 0.625 0.002
Bi: 0.375 0.377 0.502
Bi: 0.623 0.125 0.998
Bi: 0.875 0.873 0.498
Ir: 0.250 0.750 0.500
Ir: 0.500 0.500 0.000

No. 10
A plane-wave DFT calculation with PBE was carried out for a relaxed structure of Hg3Sb2Pb4.

Output
Uncorrected formation energy   0.049 eV per atom

Unit cell a=7.502 b=7.502 c=9.567 alpha=95.58 beta=95.58 gamma=95.32
Atoms (fractional coordinates):
Hg: 0.123 0.877 0.750
Hg: 0.219 0.456 0.257
Hg: 0.456 0.219 0.757
Hg: 0.544 0.781 0.243
Hg: 0.781 0.544 0.743
Hg: 0.877 0.123 0.250
Sb: 0.016 0.757 0.109
Sb: 0.243 0.984 0.391
Sb: 0.757 0.016 0.609
Sb: 0.984 0.243 0.891
Pb: 0.101 0.321 0.572
Pb: 0.301 0.577 0.919
Pb: 0.321 0.101 0.072
Pb: 0.423 0.699 0.581
Pb: 0.577 0.301 0.419
Pb: 0.679 0.899 0.928
Pb: 0.699 0.423 0.081
Pb: 0.899 0.679 0.428

No. 11
A plane-wave DFT calculation with PBE was carried out for a relaxed structure of LaHgTePb.

Output
Uncorrected formation energy   -0.596 eV per atom

Unit cell a=5.515 b=5.515 c=5.515 alpha=60.00 beta=60.00 gamma=60.00
Atoms (fractional coordinates):
La: 0.000 0.000 0.000
Hg: 0.250 0.250 0.250
Te: 0.750 0.750 0.750
Pb: 0.500 0.500 0.500

No. 12
A plane-wave DFT calculation with PBE was carried out for a relaxed structure of ReMoAu2.

Output
ΔE to the lowest computed polymorph   186 meV/atom

Unit cell a=3.880 b=3.880 c=4.349 alpha=90.00 beta=90.00 gamma=90.00
Atoms (fractional coordinates):
Re: 0.000 0.000 0.000
Mo: 0.500 0.500 0.000
Au: 0.000 0.500 0.500
Au: 0.500 0.000 0.500